(1)
## Sc2BeZnC (GGA-PBEsol)

Data for an optimized crystal structure of Sc2BeZnC.

Geometry as CIF:
```
data_Sc2BeZnC
_chemical_formula_sum 'Sc2 Be1 Zn1 C1'
_space_group_name_H-M_alt 'P 4/m m m'
_space_group_IT_number 123
_space_group_name_Hall '-P 4 2'
_cell_length_a 4.558
_cell_length_b 4.558
_cell_length_c 3.457
_cell_angle_alpha 90.00
_cell_angle_beta 90.00
_cell_angle_gamma 90.00
loop_
_atom_site_label
_atom_site_fract_x
_atom_site_fract_y
_atom_site_fract_z
Sc1 0.000 0.500 0.000
Be1 0.000 0.000 0.500
Zn1 0.500 0.500 0.500
C1 0.000 0.000 0.000
```

Values from the calculation:
Calculated formation energy = -343 meV per atom
Magnetic moment = 0.0000 μB/atom

(2)
## La3InCo (GGA-PBEsol)

Data for an optimized crystal structure of La3InCo.

Geometry as CIF:
```
data_La3InCo
_chemical_formula_sum 'La18 In6 Co6'
_space_group_name_H-M_alt 'R -3 c'
_space_group_IT_number 167
_space_group_name_Hall '-R 3 2"c'
_cell_length_a 7.3944
_cell_length_b 7.3944
_cell_length_c 18.0460
_cell_angle_alpha 90.00
_cell_angle_beta 90.00
_cell_angle_gamma 120.00
loop_
_atom_site_label
_atom_site_fract_x
_atom_site_fract_y
_atom_site_fract_z
La1 0.0000 0.4691 0.2500
In1 0.0000 0.0000 0.2500
Co1 0.0000 0.0000 0.0000
```

Values from the calculation:
Calculated formation energy = -280 meV per atom
Magnetic moment = 0.0000 μB/atom
Distance to the lowest polymorph of the same formula = 0 meV per atom

(3)
## FeCoIr2 (GGA-PBEsol)

Data for an optimized crystal structure of FeCoIr2.

Geometry as CIF:
```
data_FeCoIr2
_chemical_formula_sum 'Fe1 Co1 Ir2'
_space_group_name_H-M_alt 'P m m 2'
_space_group_IT_number 25
_space_group_name_Hall 'P 2 -2'
_cell_length_a 2.646
_cell_length_b 3.646
_cell_length_c 5.140
_cell_angle_alpha 90.00
_cell_angle_beta 90.00
_cell_angle_gamma 90.00
loop_
_atom_site_label
_atom_site_fract_x
_atom_site_fract_y
_atom_site_fract_z
Fe1 0.000 0.000 0.000
Co1 0.500 0.500 0.765
Ir1 0.000 0.000 0.521
Ir2 0.500 0.500 0.251
```

Values from the calculation:
Calculated formation energy = 11 meV per atom
Magnetic moment = 0.7473 μB/atom

(4)
## Ba3Mn2IrO9 (GGA-PBEsol)

Data for an optimized crystal structure of Ba3Mn2IrO9.

Geometry as CIF:
```
data_Ba3Mn2IrO9
_chemical_formula_sum 'Ba9 Mn6 Ir3 O27'
_space_group_name_H-M_alt 'R -3 m'
_space_group_IT_number 166
_space_group_name_Hall '-R 3 2"'
_cell_length_a 5.6426
_cell_length_b 5.6426
_cell_length_c 21.5001
_cell_angle_alpha 90.00
_cell_angle_beta 90.00
_cell_angle_gamma 120.00
loop_
_atom_site_label
_atom_site_fract_x
_atom_site_fract_y
_atom_site_fract_z
Ba1 0.0000 0.0000 0.0000
Ba2 0.0000 0.0000 0.2238
Mn1 0.0000 0.0000 0.3808
Ir1 0.0000 0.0000 0.5000
O1 0.0000 0.5000 0.0000
O2 0.0300 0.5150 0.2292
```

Values from the calculation:
Formation energy without anion corrections = -30.62 eV per formula unit
Magnetic moment = 0.3310 μB/atom

(5)
## CdHg2Pt2 (GGA-PBEsol)

Data for an optimized crystal structure of CdHg2Pt2.

Geometry as CIF:
```
data_CdHg2Pt2
_chemical_formula_sum 'Cd2 Hg4 Pt4'
_space_group_name_H-M_alt 'I 4/m m m'
_space_group_IT_number 139
_space_group_name_Hall '-I 4 2'
_cell_length_a 3.802
_cell_length_b 3.802
_cell_length_c 13.800
_cell_angle_alpha 90.00
_cell_angle_beta 90.00
_cell_angle_gamma 90.00
loop_
_atom_site_label
_atom_site_fract_x
_atom_site_fract_y
_atom_site_fract_z
Cd1 0.000 0.000 0.000
Hg1 0.000 0.000 0.398
Pt1 0.000 0.500 0.250
```

Values from the calculation:
Calculated formation energy = 152 meV per atom
Magnetic moment = 0.0000 μB/atom

(6)
## NbBrN2O (GGA-PBEsol)

Data for an optimized crystal structure of NbBrN2O.

Geometry as CIF:
```
data_NbBrN2O
_chemical_formula_sum 'Nb1 Br1 N2 O1'
_space_group_name_H-M_alt 'P 4/m m m'
_space_group_IT_number 123
_space_group_name_Hall '-P 4 2'
_cell_length_a 4.204
_cell_length_b 4.204
_cell_length_c 3.868
_cell_angle_alpha 90.00
_cell_angle_beta 90.00
_cell_angle_gamma 90.00
loop_
_atom_site_label
_atom_site_fract_x
_atom_site_fract_y
_atom_site_fract_z
Nb1 0.000 0.000 0.000
Br1 0.500 0.500 0.500
N1 0.000 0.500 0.000
O1 0.000 0.000 0.500
```

Values from the calculation:
Formation energy without anion corrections = 1.14 eV per formula unit
Magnetic moment = 0.0001 μB/atom

Question: magnetic moment of number 1 (Sc2BeZnC)?
Answer: 0.0000 μB/atom